1.
8
Lattice="3.5838 0.0000 0.0000 -1.7919 3.1037 0.0000 0.0000 0.0000 20.4456" Properties=species:S:1:pos:R:3 comment="PBE K2DyTm3C2, optimized geometry" energy_ev_per_cell=-39.2 crystal_system=trigonal volume_a3_per_atom=28.43 pbc="T T T"
Tm 0.0000 0.0000 8.9220
Tm 0.0000 2.0691 19.1224
Tm 0.0000 2.0691 11.5359
C 1.7919 1.0346 10.2291
C 1.7919 1.0346 20.4140
Dy 0.0000 0.0000 1.3223
K 0.0000 2.0691 5.1348
K 0.0000 0.0000 15.3246

---

2.
3
Lattice="3.9664 -2.5544 1.2659 0.0656 -4.8509 -0.5699 2.8102 -2.0161 -3.4494" Properties=species:S:1:pos:R:3 comment="PBE HoNbBi, optimized geometry" energy_ev_per_cell=-17.8 crystal_system=cubic volume_a3_per_atom=27.47 pbc="T T T"
Ho 1.7106 -2.3554 -0.6883
Nb 5.1317 -7.0661 -2.0650
Bi 0.0000 0.0000 0.0000

---

3.
12
Lattice="7.4219 0.0000 0.0000 0.0000 5.1300 0.0000 0.0000 0.0000 9.3820" Properties=species:S:1:pos:R:3 comment="PBE TbPrHg, optimized geometry" energy_ev_per_cell=-42.8 crystal_system=orthorhombic formation_enthalpy_0k_mev_per_atom=-336 de_polymorph_ev_per_atom=0.000 volume_a3_per_atom=29.77 pbc="T T T"
Pr 3.8190 3.8475 2.9214
Pr 0.1081 3.8475 1.7697
Pr 3.6029 1.2825 6.4607
Pr 7.3138 1.2825 7.6124
Hg 5.5797 3.8475 5.6725
Hg 1.8687 3.8475 8.4006
Hg 1.8422 1.2825 3.7096
Hg 5.5532 1.2825 0.9815
Tb 6.2170 1.2825 3.9922
Tb 4.9159 3.8475 8.6832
Tb 2.5060 1.2825 0.6988
Tb 1.2049 3.8475 5.3898

---

4.
8
Lattice="-5.2928 4.4056 -0.4655 0.6320 -4.0232 5.5726 2.9965 3.8583 2.4457" Properties=species:S:1:pos:R:3 comment="PBE GdY2Hg, optimized geometry" energy_ev_per_cell=-37.1 crystal_system=orthorhombic formation_enthalpy_0k_mev_per_atom=-171 de_polymorph_ev_per_atom=0.034 volume_a3_per_atom=28.24 pbc="T T T"
Y 0.0637 0.3339 2.4462
Y 0.5371 3.7210 2.6246
Y -1.7279 3.9069 5.1066
Y -2.2014 0.5198 4.9282
Hg 0.8982 1.6891 5.3878
Hg -2.5625 2.5517 2.1650
Gd 0.3535 -1.5966 5.1367
Gd -2.0177 5.8374 2.4161

---

5.
8
Lattice="-2.0420 0.3685 3.5501 -3.4230 -4.0263 -1.5510 3.3420 -3.7309 2.3095" Properties=species:S:1:pos:R:3 comment="PBE ZnAsIrO, optimized geometry" energy_ev_per_cell=-41.3 crystal_system=orthorhombic de_polymorph_ev_per_atom=0.441 volume_a3_per_atom=15.61 pbc="T T T"
Ir 2.3579 -4.4547 1.8186
Ir -1.1463 -4.7456 -0.1668
O 1.4173 -3.8616 3.5974
O -2.5218 -4.6641 1.4150
Zn -3.7134 -3.3108 0.5891
Zn 0.2056 -2.5320 2.7625
As 0.0662 -2.7221 0.3206
As 0.6244 -5.8965 0.9711

---

6.
2
Lattice="1.0228 0.8815 4.4692 -3.0834 2.2309 2.7042 -2.2189 -2.3039 3.4008" Properties=species:S:1:pos:R:3 comment="PBE NaZr, optimized geometry" energy_ev_per_cell=-5.1 crystal_system=cubic de_polymorph_ev_per_atom=2.151 volume_a3_per_atom=35.98 pbc="T T T"
Zr -1.0699 0.2021 2.6436
Na 0.0000 0.0000 0.0000